Compound: Tl4In8Pb
Source: Alexandria
Functional: PBE
Structure: relaxed

The energy is -2.641 eV/atom. The value obtained for the density of states at the Fermi level is 0.50 states/eV per atom. For the total magnetization, the calculation gives 0.000 μB/atom. The formation enthalpy at 0 K comes out at 0.74 eV/f.u.

Cell: 6.502 6.502 18.846 Å, 102.27 102.27 30.25°
Atoms (fractional coordinates):
Tl1 0.000 0.000 0.000
Tl2 0.142 0.142 0.717
Tl3 0.567 0.567 0.416
Tl4 0.743 0.743 0.112
In1 0.180 0.180 0.279
In2 0.228 0.228 0.568
In3 0.253 0.253 0.958
In4 0.488 0.488 0.581
In5 0.498 0.498 0.153
In6 0.560 0.560 0.847
In7 0.836 0.836 0.828
In8 0.908 0.908 0.275
Pb1 0.832 0.832 0.436


Compound: CsURuSe3
Source: Alexandria
Functional: PBE
Structure: relaxed

For the raw formation energy, the calculation gives -897 meV/atom. The energy is -6.209 eV/atom. The value obtained for the density of states at the Fermi level is 1.06 states/eV per atom. For the total magnetization, the calculation gives 0.384 μB/atom.

Cell: 9.816 4.020 10.196 Å, 90.00 114.96 90.00°
Atoms (fractional coordinates):
Cs1 0.211 0.250 0.244
Cs2 0.789 0.750 0.756
U1 0.320 0.750 0.841
U2 0.680 0.250 0.159
Ru1 0.085 0.250 0.595
Ru2 0.915 0.750 0.405
Se1 0.126 0.250 0.856
Se2 0.193 0.750 0.533
Se3 0.467 0.750 0.152
Se4 0.533 0.250 0.848
Se5 0.807 0.250 0.467
Se6 0.874 0.750 0.144


Compound: Pm16Nd6Sm7
Source: Alexandria
Functional: PBE
Structure: relaxed

The energy is -4.535 eV/atom. The value obtained for the density of states at the Fermi level is 1.52 states/eV per atom. For the total magnetization, the calculation gives 0.000 μB/atom. The formation enthalpy at 0 K comes out at 6.14 eV/f.u.

Cell: 11.392 11.392 11.392 Å, 60.00 60.00 60.00°
Atoms (fractional coordinates):
Pm1 0.045 0.652 0.652
Pm2 0.126 0.126 0.126
Pm3 0.126 0.126 0.621
Pm4 0.126 0.621 0.126
Pm5 0.348 0.348 0.348
Pm6 0.348 0.348 0.955
Pm7 0.348 0.955 0.348
Pm8 0.379 0.874 0.874
Pm9 0.621 0.126 0.126
Pm10 0.652 0.045 0.652
Pm11 0.652 0.652 0.045
Pm12 0.652 0.652 0.652
Pm13 0.874 0.379 0.874
Pm14 0.874 0.874 0.379
Pm15 0.874 0.874 0.874
Pm16 0.955 0.348 0.348
Nd1 0.272 0.272 0.728
Nd2 0.272 0.728 0.272
Nd3 0.272 0.728 0.728
Nd4 0.728 0.272 0.272
Nd5 0.728 0.272 0.728
Nd6 0.728 0.728 0.272
Sm1 0.000 0.000 0.000
Sm2 0.000 0.000 0.500
Sm3 0.000 0.500 0.000
Sm4 0.000 0.500 0.500
Sm5 0.500 0.000 0.000
Sm6 0.500 0.000 0.500
Sm7 0.500 0.500 0.000


Compound: Ac6Te5Se
Source: Alexandria
Functional: PBE
Structure: relaxed

For the raw formation energy, the calculation gives -1549 meV/atom. The energy is -5.203 eV/atom. The value obtained for the density of states at the Fermi level is 0.56 states/eV per atom. For the total magnetization, the calculation gives 0.000 μB/atom.

Cell: 8.132 8.132 8.118 Å, 99.65 99.65 120.09°
Atoms (fractional coordinates):
Ac1 0.079 0.398 0.737
Ac2 0.237 0.237 0.256
Ac3 0.398 0.079 0.737
Ac4 0.602 0.921 0.263
Ac5 0.763 0.763 0.744
Ac6 0.921 0.602 0.263
Te1 0.173 0.827 0.000
Te2 0.335 0.665 0.500
Te3 0.500 0.500 0.000
Te4 0.665 0.335 0.500
Te5 0.827 0.173 0.000
Se1 0.000 0.000 0.500